SrAl2Mo | Alexandria | PBE | optimized geometry; total magnetic moment = 0.000 μB per formula unit; V = 19.7 Å³/atom; D(E_F) = 0.540 states/eV per atom; crystal system = tetragonal; formation energy = 0.475 eV/atom; energy above the lowest structure with this stoichiometry = 456 meV per atom
1.0
5.188 0.000 0.000
0.000 5.188 0.000
0.000 0.000 2.934
Sr Al Mo
1 2 1
direct
0.000 0.000 0.000
0.000 0.500 0.500
0.500 0.000 0.500
0.500 0.500 0.000